Computed, not measured: a relaxed BTeI2Cl crystal at the PBE level of DFT.

Properties
* raw total energy: -11.62 eV per cell
* ΔE_f (raw): 0.63 eV/atom
* DOS at the Fermi energy: 2.52 states/eV/f.u.
* crystal system: tetragonal
* energy above the most stable polymorph in this dataset: 0.0 meV per atom

Unit cell a=5.3315 b=5.3315 c=4.3630 alpha=90.00 beta=90.00 gamma=90.00
With the nearest neighbours (Å) after each atom.
Element x y z (fractional)
B 0.0000 0.0000 0.0000  2 Cl 2.18
Te 0.5000 0.5000 0.5000  8 I 3.44, 4 Cl 3.77
I 0.0000 0.5000 0.0000  2 B 2.67
I 0.5000 0.0000 0.0000  2 B 2.67
Cl 0.0000 0.0000 0.5000  2 B 2.18